1:
Density functional theory data (PBE-GGA) for a relaxed structure of SnTeRh2.

Values from the calculation:
Crystal system: tetragonal

Lattice parameters (Å, degrees): 4.5082 4.5082 16.6277 90.00 90.00 90.00
With the nearest neighbours (Å) after each atom.
Space group I-42d (No. 122)
Asymmetric unit:
Sn: 0.0000 0.0000 0.0000 [4 per cell]  4 Rh 2.66
Te: 0.0000 0.0000 0.5000 [4 per cell]  4 Rh 2.58
Rh: 0.2299 0.2500 0.6250 [8 per cell]  2 Te 2.58, 2 Sn 2.66


2:
Density functional theory data (PBE-GGA) for a relaxed structure of SnTeRh2.

Values from the calculation:
Crystal system: monoclinic

Lattice parameters (Å, degrees): 7.9577 6.4282 6.0117 90.00 90.10 90.00
With the nearest neighbours (Å) after each atom.
Space group P2_1/c (No. 14)
Asymmetric unit:
Sn: 0.1201 0.1009 0.1984 [4 per cell]  6 Rh 2.65-2.86
Te: 0.3683 0.5852 0.3027 [4 per cell]  6 Rh 2.61-2.76
Rh: 0.1306 0.6937 0.0074 [4 per cell]  4 Sn 2.65-2.86, 2 Te 2.67-2.68
Rh: 0.3796 0.1963 0.4892 [4 per cell]  4 Te 2.61-2.76, 2 Sn 2.75-2.77


Least stable of them? 1.


1:
Density functional theory data (PBE-GGA) for a relaxed structure of SnTeRh.

Values from the calculation:
Crystal system: monoclinic

Lattice parameters (Å, degrees): 6.7564 6.6800 6.8605 90.00 117.04 90.00
With the nearest neighbours (Å) after each atom.
Space group P2_1/c (No. 14)
Asymmetric unit:
Sn: 0.1513 0.1524 0.3328 [4 per cell]  3 Rh 2.63-2.67
Te: 0.3438 0.6289 0.6295 [4 per cell]  3 Rh 2.70-2.73, 1 Sn 2.97
Rh: 0.2347 0.5040 0.2147 [4 per cell]  3 Sn 2.63-2.67, 3 Te 2.70-2.73


2:
Density functional theory data (PBE-GGA) for a relaxed structure of SnTeRh.

Values from the calculation:
Crystal system: cubic

Lattice parameters (Å, degrees): 6.5206 6.5206 6.5206 90.00 90.00 90.00
With the nearest neighbours (Å) after each atom.
Space group F-43m (No. 216)
Asymmetric unit:
Sn: 0.0000 0.0000 0.0000 [4 per cell]  4 Rh 2.82
Te: 0.0000 0.0000 0.5000 [4 per cell]  4 Rh 2.82
Rh: 0.2500 0.2500 0.2500 [4 per cell]  4 Sn 2.82, 4 Te 2.82


Least stable of them? 2.